A plane-wave DFT calculation with SCAN was carried out for a PBEsol-optimized structure of Ta8Co.

Geometry as CIF:
```
data_Ta8Co
_chemical_formula_sum 'Ta16 Co2'
_symmetry_space_group_name_H-M 'I 4/m m m'
_symmetry_Int_Tables_number 139
_symmetry_space_group_name_Hall '-I 4 2'
_cell_length_a 9.5638
_cell_length_b 9.5638
_cell_length_c 3.3003
_cell_angle_alpha 90.00
_cell_angle_beta 90.00
_cell_angle_gamma 90.00
loop_
_atom_site_label
_atom_site_type_symbol
_atom_site_fract_x
_atom_site_fract_y
_atom_site_fract_z
Ta1 Ta 0.0000 0.3306 0.0000
Ta2 Ta 0.1617 0.1617 0.5000
Co1 Co 0.0000 0.0000 0.0000
```



A plane-wave DFT calculation with SCAN was carried out for a PBEsol-optimized structure of TiSiSb2Te.

Geometry as CIF:
```
data_TiSiSb2Te
_chemical_formula_sum 'Ti1 Si1 Sb2 Te1'
_symmetry_space_group_name_H-M 'P 4/m m m'
_symmetry_Int_Tables_number 123
_symmetry_space_group_name_Hall '-P 4 2'
_cell_length_a 5.2060
_cell_length_b 5.2060
_cell_length_c 5.1077
_cell_angle_alpha 90.00
_cell_angle_beta 90.00
_cell_angle_gamma 90.00
loop_
_atom_site_label
_atom_site_type_symbol
_atom_site_fract_x
_atom_site_fract_y
_atom_site_fract_z
Ti1 Ti 0.0000 0.0000 0.0000
Si1 Si 0.5000 0.5000 0.5000
Sb1 Sb 0.0000 0.5000 0.0000
Te1 Te 0.0000 0.0000 0.5000
```

Values from the calculation:
Raw formation energy: 0.604 eV/atom
Excess energy over the best structure of this formula in the dataset: 0 meV/atom



A plane-wave DFT calculation with SCAN was carried out for a PBEsol-optimized structure of As2RhAu.

Geometry as CIF:
```
data_As2RhAu
_chemical_formula_sum 'As2 Rh1 Au1'
_symmetry_space_group_name_H-M 'P 4/m m m'
_symmetry_Int_Tables_number 123
_symmetry_space_group_name_Hall '-P 4 2'
_cell_length_a 4.3986
_cell_length_b 4.3986
_cell_length_c 3.3397
_cell_angle_alpha 90.00
_cell_angle_beta 90.00
_cell_angle_gamma 90.00
loop_
_atom_site_label
_atom_site_type_symbol
_atom_site_fract_x
_atom_site_fract_y
_atom_site_fract_z
As1 As 0.0000 0.5000 0.0000
Rh1 Rh 0.0000 0.0000 0.5000
Au1 Au 0.5000 0.5000 0.5000
```



A plane-wave DFT calculation with SCAN was carried out for a PBEsol-optimized structure of BePdNF2.

Geometry as CIF:
```
data_BePdNF2
_chemical_formula_sum 'Be1 Pd1 N1 F2'
_symmetry_space_group_name_H-M 'P 4/m m m'
_symmetry_Int_Tables_number 123
_symmetry_space_group_name_Hall '-P 4 2'
_cell_length_a 4.1419
_cell_length_b 4.1419
_cell_length_c 3.7603
_cell_angle_alpha 90.00
_cell_angle_beta 90.00
_cell_angle_gamma 90.00
loop_
_atom_site_label
_atom_site_type_symbol
_atom_site_fract_x
_atom_site_fract_y
_atom_site_fract_z
Be1 Be 0.0000 0.0000 0.0000
Pd1 Pd 0.5000 0.5000 0.5000
N1 N 0.5000 0.5000 0.0000
F1 F 0.0000 0.5000 0.5000
```

Values from the calculation:
Raw formation energy: 0.233 eV/atom



The calculation returns the following DOS at the Fermi energy values, one per record and in order: 15.78; 4.29; 2.38; 1.09 states/eV/cell.
The calculation returns the following energy values, one per record and in order: -61.115; -26.960; -35.744; -10.467 eV per atom.